This record from the Alexandria database describes Na5HgAu after structural relaxation. The functional is PBE.

Structure (CIF):
```
data_Na5HgAu
_chemical_formula_sum 'Na10 Hg2 Au2'
_cell_length_a 6.197
_cell_length_b 7.977
_cell_length_c 9.428
_cell_angle_alpha 115.03
_cell_angle_beta 109.66
_cell_angle_gamma 90.00
_space_group_name_H-M_alt 'P 1'
_space_group_IT_number 1
loop_
_space_group_symop_operation_xyz
'x,y,z'
loop_
_atom_site_label
_atom_site_type_symbol
_atom_site_fract_x
_atom_site_fract_y
_atom_site_fract_z
Na1 Na 0.431 0.785 0.845
Na2 Na 0.390 0.885 0.275
Na3 Na 0.931 0.560 0.845
Na4 Na 0.750 0.646 0.500
Na5 Na 0.110 0.109 0.725
Na6 Na 0.890 0.891 0.275
Na7 Na 0.250 0.354 0.500
Na8 Na 0.069 0.440 0.155
Na9 Na 0.610 0.115 0.725
Na10 Na 0.569 0.215 0.155
Hg1 Hg 0.000 0.000 0.000
Hg2 Hg 0.500 0.500 0.000
Au1 Au 0.750 0.246 0.500
Au2 Au 0.250 0.754 0.500
```

## Properties
Space-group type: No. 15
Offset from the most stable computed form in eV/atom: 0.000

---

This record from the Alexandria database describes Na2Hg8Au after structural relaxation. The functional is PBE.

Structure (CIF):
```
data_Na2Hg8Au
_chemical_formula_sum 'Na2 Hg8 Au1'
_cell_length_a 4.928
_cell_length_b 4.928
_cell_length_c 11.716
_cell_angle_alpha 90.00
_cell_angle_beta 90.00
_cell_angle_gamma 90.00
_space_group_name_H-M_alt 'P 1'
_space_group_IT_number 1
loop_
_space_group_symop_operation_xyz
'x,y,z'
loop_
_atom_site_label
_atom_site_type_symbol
_atom_site_fract_x
_atom_site_fract_y
_atom_site_fract_z
Na1 Na 0.000 0.000 0.313
Na2 Na 0.000 0.000 0.687
Hg1 Hg 0.000 0.500 0.500
Hg2 Hg 0.500 0.000 0.500
Hg3 Hg 0.500 0.500 0.313
Hg4 Hg 0.500 0.500 0.687
Hg5 Hg 0.000 0.500 0.137
Hg6 Hg 0.500 0.000 0.137
Hg7 Hg 0.000 0.500 0.863
Hg8 Hg 0.500 0.000 0.863
Au1 Au 0.000 0.000 0.000
```

## Properties
Space-group type: No. 123
Offset from the most stable computed form in eV/atom: 0.000

---

This record from the Alexandria database describes NaHg4Au after structural relaxation. The functional is PBE.

Structure (CIF):
```
data_NaHg4Au
_chemical_formula_sum 'Na1 Hg4 Au1'
_cell_length_a 6.021
_cell_length_b 6.021
_cell_length_c 6.021
_cell_angle_alpha 60.00
_cell_angle_beta 60.00
_cell_angle_gamma 60.00
_space_group_name_H-M_alt 'P 1'
_space_group_IT_number 1
loop_
_space_group_symop_operation_xyz
'x,y,z'
loop_
_atom_site_label
_atom_site_type_symbol
_atom_site_fract_x
_atom_site_fract_y
_atom_site_fract_z
Na1 Na 0.250 0.250 0.250
Au1 Au 0.000 0.000 0.000
Hg1 Hg 0.625 0.625 0.125
Hg2 Hg 0.625 0.125 0.625
Hg3 Hg 0.625 0.625 0.625
Hg4 Hg 0.125 0.625 0.625
```

## Properties
Space-group type: No. 216
Offset from the most stable computed form in eV/atom: 0.137

---

no.,energy of formation (eV/atom),M_tot (Bohr magnetons per cell)
1,-0.193,0.0
2,-0.127,0.0
3,0.014,0.0